(1)
Here is crystalline TbLuPa at its relaxed geometry from Alexandria. Energies are from GGA-PBE.

Results
Its offset from the most stable computed form is 9.9 kJ/mol of formula units. Its energy of formation is 0.1434 eV/atom. Its density of states at the Fermi level is 10.6 states/eV/cell. Its space group is I4mm (107).

Lattice parameters (Å, degrees): 3.3874 3.3874 14.9222 90.00 90.00 90.00
Last column: nearest neighbours and their distance in Å.
Sites, in units of the cell vectors:
Tb 0.0000 0.0000 0.0000  4 Pa 3.38, 4 Tb 3.39, 4 Lu 3.65
Tb 0.5000 0.5000 0.5000  4 Pa 3.38, 4 Tb 3.39, 4 Lu 3.65
Lu 0.0000 0.0000 0.6842  4 Pa 3.34, 4 Lu 3.39, 4 Tb 3.65
Lu 0.5000 0.5000 0.1842  4 Pa 3.34, 4 Lu 3.39, 4 Tb 3.65
Pa 0.0000 0.0000 0.3401  4 Lu 3.34, 4 Tb 3.38, 4 Pa 3.39
Pa 0.5000 0.5000 0.8401  4 Lu 3.34, 4 Tb 3.38, 4 Pa 3.39


(2)
Here is crystalline TbLuThPa at its relaxed geometry from Alexandria. Energies are from GGA-PBE.

Results
Its energy of formation is 0.3425 eV/atom. Its density of states at the Fermi level is 48.6 states/eV/cell. Its space group is F-43m (216).

Lattice parameters (Å, degrees): 7.8146 7.8146 7.8146 90.00 90.00 90.00
Last column: nearest neighbours and their distance in Å.
Sites, in units of the cell vectors:
Tb 0.0000 0.0000 0.0000  4 Pa 3.38, 4 Lu 3.38
Tb 0.0000 0.5000 0.5000  4 Pa 3.38, 4 Lu 3.38
Tb 0.5000 0.0000 0.5000  4 Pa 3.38, 4 Lu 3.38
Tb 0.5000 0.5000 0.0000  4 Pa 3.38, 4 Lu 3.38
Lu 0.2500 0.2500 0.7500  4 Tb 3.38, 4 Th 3.38
Lu 0.2500 0.7500 0.2500  4 Tb 3.38, 4 Th 3.38
Lu 0.7500 0.2500 0.2500  4 Tb 3.38, 4 Th 3.38
Lu 0.7500 0.7500 0.7500  4 Tb 3.38, 4 Th 3.38
Th 0.0000 0.0000 0.5000  4 Lu 3.38, 4 Pa 3.38
Th 0.0000 0.5000 0.0000  4 Lu 3.38, 4 Pa 3.38
Th 0.5000 0.0000 0.0000  4 Lu 3.38, 4 Pa 3.38
Th 0.5000 0.5000 0.5000  4 Lu 3.38, 4 Pa 3.38
Pa 0.2500 0.2500 0.2500  4 Th 3.38, 4 Tb 3.38
Pa 0.2500 0.7500 0.7500  4 Tb 3.38, 4 Th 3.38
Pa 0.7500 0.2500 0.7500  4 Tb 3.38, 4 Th 3.38
Pa 0.7500 0.7500 0.2500  4 Tb 3.38, 4 Th 3.38


(3)
Here is crystalline TbLuZrPa at its relaxed geometry from Alexandria. Energies are from GGA-PBE.

Results
Its energy of formation is 0.3083 eV/atom. Its density of states at the Fermi level is 45.5 states/eV/cell. Its space group is F-43m (216).

Lattice parameters (Å, degrees): 7.5559 7.5559 7.5559 90.00 90.00 90.00
Last column: nearest neighbours and their distance in Å.
Sites, in units of the cell vectors:
Tb 0.0000 0.0000 0.0000  4 Pa 3.27, 4 Lu 3.27
Tb 0.0000 0.5000 0.5000  4 Pa 3.27, 4 Lu 3.27
Tb 0.5000 0.0000 0.5000  4 Pa 3.27, 4 Lu 3.27
Tb 0.5000 0.5000 0.0000  4 Pa 3.27, 4 Lu 3.27
Lu 0.2500 0.2500 0.2500  4 Zr 3.27, 4 Tb 3.27
Lu 0.2500 0.7500 0.7500  4 Zr 3.27, 4 Tb 3.27
Lu 0.7500 0.2500 0.7500  4 Zr 3.27, 4 Tb 3.27
Lu 0.7500 0.7500 0.2500  4 Zr 3.27, 4 Tb 3.27
Zr 0.0000 0.0000 0.5000  4 Pa 3.27, 4 Lu 3.27
Zr 0.0000 0.5000 0.0000  4 Pa 3.27, 4 Lu 3.27
Zr 0.5000 0.0000 0.0000  4 Pa 3.27, 4 Lu 3.27
Zr 0.5000 0.5000 0.5000  4 Pa 3.27, 4 Lu 3.27
Pa 0.2500 0.2500 0.7500  4 Zr 3.27, 4 Tb 3.27
Pa 0.2500 0.7500 0.2500  4 Zr 3.27, 4 Tb 3.27
Pa 0.7500 0.2500 0.2500  4 Zr 3.27, 4 Tb 3.27
Pa 0.7500 0.7500 0.7500  4 Zr 3.27, 4 Tb 3.27


no.,calculated total energy (eV per formula unit)
1,-18.2
2,-24.7
3,-26.0